Here is a relaxed Ti2Ga2Au3 crystal from Alexandria. Energies are from PBE.

Cell lengths 4.269, 2.899, 10.162 Å; angles 90.00, 102.15, 90.00 degrees
Space group P2/m (No. 10)
Asymmetric unit:
Ti 0.075 0.000 0.150 x2
Ga 0.367 0.500 0.732 x2
Au 0.204 0.500 0.408 x2
Au 0.500 0.500 0.000 x1

## Properties
The energy above the most stable polymorph in this dataset is 8 meV per atom. The formation enthalpy at 0 K is -260.0 meV per atom. The total DFT energy (no corrections) is -33.50 eV/f.u.

Here is a relaxed Ti12Ga6Au crystal from Alexandria. Energies are from PBE.

Cell lengths 12.4216, 12.4216, 6.9837 Å; angles 90.00, 90.00, 120.00 degrees
Space group R-3 (No. 148, hexagonal axes)
Asymmetric unit:
Ti 0.0067 0.1358 0.1659 x18
Ti 0.0629 0.5708 0.1638 x18
Ga 0.0295 0.2725 0.8403 x18
Au 0.0000 0.0000 0.5000 x3

## Properties
The formation enthalpy at 0 K is -307.1 meV per atom. The total DFT energy (no corrections) is -122.01 eV/f.u.

Here is a relaxed Ti4Ga3Au crystal from Alexandria. Energies are from PBE.

Cell lengths 8.323, 5.586, 5.652 Å; angles 90.00, 90.00, 90.00 degrees
Space group Pmn2_1 (No. 31)
Asymmetric unit:
Ti 0.000 0.000 0.000 x2
Ti 0.000 0.499 0.999 x2
Ti 0.250 0.265 0.750 x4
Ga 0.000 0.501 0.500 x2
Ga 0.250 0.245 0.250 x4
Au 0.000 0.002 0.500 x2

## Properties
The energy above the most stable polymorph in this dataset is 109 meV per atom. The formation enthalpy at 0 K is -336.6 meV per atom. The total DFT energy (no corrections) is -46.63 eV/f.u.

Here is a relaxed Ti4Ga5Au2 crystal from Alexandria. Energies are from PBE.

Cell lengths 6.945, 2.853, 9.203 Å; angles 90.00, 94.51, 90.00 degrees
Space group P2/m (No. 10)
Asymmetric unit:
Ti 0.170 0.000 0.400 x2
Ti 0.295 0.000 0.944 x2
Ga 0.192 0.500 0.661 x2
Ga 0.438 0.500 0.202 x2
Ga 0.500 0.500 0.500 x1
Au 0.062 0.500 0.144 x2

## Properties
The formation enthalpy at 0 K is -403.3 meV per atom. The total DFT energy (no corrections) is -57.71 eV/f.u.